No. 1
Density functional theory data (PBE) for a geometry-optimized Mn2PtBr structure.

The structure belongs to space group C2/m (No. 12); the cell edges are 7.843, 3.321 and 7.646 Å and the angles 90.00°, 119.74° and 90.00°. The asymmetric unit holds Mn at (0.120, 0.000, 0.321), Pt at (0.000, 0.500, 0.500) and Br at (0.000, 0.500, 0.000).

For the energy, the calculation gives -6.520 eV/atom. The density of states at the Fermi level comes out at 2.39 states/eV/f.u. The calculation puts the raw formation energy at -0.007 eV/atom. For the relative energy among the computed polymorphs, the calculation gives 97.7 meV per atom. For the volume, the calculation gives 21.62 Å³/atom.


No. 2
Density functional theory data (PBE) for a geometry-optimized CeY2I6 structure.

The structure belongs to space group C2/m (No. 12); the cell edges are 17.568, 4.154 and 11.633 Å and the angles 90.00°, 117.50° and 90.00°. The asymmetric unit holds Ce at (0.000, 0.000, 0.000), Y at (0.149, 0.500, 0.303), I at (0.016, 0.000, 0.292), I at (0.153, 0.500, 0.046) and I at (0.202, 0.500, 0.607).

For the energy, the calculation gives -4.370 eV/atom. The density of states at the Fermi level comes out at 8.81 states/eV/f.u. The calculation puts the raw formation energy at -1.241 eV/atom. For the volume, the calculation gives 41.84 Å³/atom.


No. 3
Density functional theory data (PBE) for a geometry-optimized CdNi4W structure.

The structure belongs to space group F-43m (No. 216); the cell edges are 6.760, 6.760 and 6.760 Å and the angles 90.00°, 90.00° and 90.00°. The asymmetric unit holds Cd at (0.000, 0.000, 0.000), Ni at (0.124, 0.124, 0.624) and W at (0.250, 0.250, 0.250).

For the energy, the calculation gives -6.028 eV/atom. The density of states at the Fermi level comes out at 7.71 states/eV/f.u. The calculation puts the formation energy at 13.3 kJ per mole of atoms. For the volume, the calculation gives 12.87 Å³/atom.


No. 4
Density functional theory data (PBE) for a geometry-optimized K2LaCr structure.

The structure belongs to space group Cmmm (No. 65); the cell edges are 6.961, 13.374 and 3.447 Å and the angles 90.00°, 90.00° and 90.00°. The asymmetric unit holds K at (0.250, 0.250, 0.000), La at (0.000, 0.000, 0.500) and Cr at (0.000, 0.500, 0.500).

For the energy, the calculation gives -3.304 eV/atom. The density of states at the Fermi level comes out at 3.59 states/eV/f.u. The calculation puts the formation energy at 85.2 kJ per mole of atoms. For the relative energy among the computed polymorphs, the calculation gives 340.1 meV per atom. For the volume, the calculation gives 40.12 Å³/atom.


No. 5
Density functional theory data (PBE) for a geometry-optimized Tb2HfNi structure.

The structure belongs to space group R-3m (No. 166, hexagonal axes); the cell edges are 3.3477, 3.3477 and 30.6398 Å and the angles 90.00°, 90.00° and 120.00°. The asymmetric unit holds Tb at (0.0000, 0.0000, 0.1046), Hf at (0.0000, 0.0000, 0.0000) and Ni at (0.0000, 0.0000, 0.5000).

For the energy, the calculation gives -5.932 eV/atom. The density of states at the Fermi level comes out at 3.99 states/eV/f.u. The calculation puts the formation energy at 30.6 kJ per mole of atoms. For the relative energy among the computed polymorphs, the calculation gives 389.3 meV per atom. For the volume, the calculation gives 24.78 Å³/atom.


No. 6
Density functional theory data (PBE) for a geometry-optimized SrAsP2Cl structure.

The structure belongs to space group P4/mmm (No. 123); the cell edges are 6.039, 6.039 and 5.371 Å and the angles 90.00°, 90.00° and 90.00°. The asymmetric unit holds Sr at (0.000, 0.000, 0.000), As at (0.500, 0.500, 0.500), P at (0.000, 0.500, 0.000) and Cl at (0.000, 0.000, 0.500).

For the energy, the calculation gives -3.067 eV/atom. The density of states at the Fermi level comes out at 1.43 states/eV/f.u. The calculation puts the raw formation energy at 0.732 eV/atom. For the relative energy among the computed polymorphs, the calculation gives 1032.1 meV per atom. For the volume, the calculation gives 39.18 Å³/atom.


No. 7
Density functional theory data (PBE) for a geometry-optimized Na2BiCl structure.

The structure belongs to space group P4/mmm (No. 123); the cell edges are 3.455, 3.455 and 8.458 Å and the angles 90.00°, 90.00° and 90.00°. The asymmetric unit holds Na at (0.000, 0.000, 0.202), Bi at (0.500, 0.500, 0.500) and Cl at (0.500, 0.500, 0.000).

For the energy, the calculation gives -3.053 eV/atom. The density of states at the Fermi level comes out at 1.00 states/eV/f.u. The calculation puts the raw formation energy at -0.961 eV/atom. For the relative energy among the computed polymorphs, the calculation gives 12.7 meV per atom. For the volume, the calculation gives 25.24 Å³/atom.


No. 8
Density functional theory data (PBE) for a geometry-optimized Y2ScI6 structure.

The structure belongs to space group C2/m (No. 12); the cell edges are 17.341, 4.089 and 11.390 Å and the angles 90.00°, 116.70° and 90.00°. The asymmetric unit holds Y at (0.183, 0.000, 0.358), Sc at (0.000, 0.500, 0.000), I at (0.030, 0.500, 0.277), I at (0.135, 0.000, 0.053) and I at (0.178, 0.000, 0.628).

For the energy, the calculation gives -4.364 eV/atom. The density of states at the Fermi level comes out at 3.59 states/eV/f.u. The calculation puts the raw formation energy at -1.191 eV/atom. For the volume, the calculation gives 40.08 Å³/atom.